Entry 1:
A plane-wave DFT calculation with PBE was carried out for a relaxed TbZr crystal.

## Properties
E above lowest polymorph (kJ/mol of atoms): 3.70
Final energy (eV/atom): -6.496
Formation energy from the elements (eV/atom): 0.092
Symmetry: No. 187
Spin magnetization (μB per formula unit): 0.01

Cell lengths 6.8619, 6.8619, 5.3415 Å; angles 90.00, 90.00, 120.00 degrees
Fractional positions:
1 Tb 0.0000 0.0000 0.0000
2 Tb 0.3412 0.1706 0.5000
3 Tb 0.8294 0.1706 0.5000
4 Tb 0.8294 0.6588 0.5000
5 Zr 0.0279 0.5140 0.0000
6 Zr 0.3333 0.6667 0.5000
7 Zr 0.4860 0.5140 0.0000
8 Zr 0.4860 0.9721 0.0000

***

Entry 2:
A plane-wave DFT calculation with PBE was carried out for a relaxed TbZr crystal.

## Properties
E above lowest polymorph (kJ/mol of atoms): 2.43
Final energy (eV/atom): -6.509
Formation energy from the elements (eV/atom): 0.079
Symmetry: No. 59
Spin magnetization (μB per formula unit): 0.01

Cell lengths 5.3985, 6.7841, 11.8445 Å; angles 90.00, 90.00, 90.00 degrees
Fractional positions:
1 Tb 0.2500 0.0024 0.0864
2 Tb 0.2500 0.2500 0.3407
3 Tb 0.2500 0.2500 0.8144
4 Tb 0.2500 0.4976 0.0864
5 Tb 0.7500 0.5024 0.9136
6 Tb 0.7500 0.7500 0.1856
7 Tb 0.7500 0.7500 0.6593
8 Tb 0.7500 0.9976 0.9136
9 Zr 0.2500 0.0022 0.5793
10 Zr 0.2500 0.4978 0.5793
11 Zr 0.2500 0.7500 0.3559
12 Zr 0.2500 0.7500 0.8221
13 Zr 0.7500 0.2500 0.1779
14 Zr 0.7500 0.2500 0.6441
15 Zr 0.7500 0.5022 0.4207
16 Zr 0.7500 0.9978 0.4207

***

Entry 3:
A plane-wave DFT calculation with PBE was carried out for a relaxed TbZr crystal.

## Properties
E above lowest polymorph (kJ/mol of atoms): 211.11
Final energy (eV/atom): -4.347
Formation energy from the elements (eV/atom): 2.242
Symmetry: No. 216
Spin magnetization (μB per formula unit): 0.04

Cell lengths 4.6088, 4.6088, 4.6088 Å; angles 60.00, 60.00, 60.00 degrees
Fractional positions:
1 Tb 0.0000 0.0000 0.0000
2 Zr 0.7500 0.7500 0.7500

***

Entry 4:
A plane-wave DFT calculation with PBE was carried out for a relaxed TbZr crystal.

## Properties
E above lowest polymorph (kJ/mol of atoms): 0.80
Final energy (eV/atom): -6.526
Formation energy from the elements (eV/atom): 0.062
Symmetry: No. 59
Spin magnetization (μB per formula unit): 0.00

Cell lengths 3.3704, 5.4034, 11.9308 Å; angles 90.00, 90.00, 90.00 degrees
Fractional positions:
1 Tb 0.2500 0.2500 0.0556
2 Tb 0.2500 0.7500 0.2234
3 Tb 0.7500 0.2500 0.7766
4 Tb 0.7500 0.7500 0.9444
5 Zr 0.2500 0.2500 0.5335
6 Zr 0.2500 0.7500 0.6871
7 Zr 0.7500 0.2500 0.3129
8 Zr 0.7500 0.7500 0.4665

***

Entry 5:
A plane-wave DFT calculation with PBE was carried out for a relaxed TbZr crystal.

## Properties
E above lowest polymorph (kJ/mol of atoms): 2.86
Final energy (eV/atom): -6.505
Formation energy from the elements (eV/atom): 0.083
Symmetry: No. 38
Spin magnetization (μB per formula unit): 0.01

Cell lengths 5.3840, 9.0439, 9.0439 Å; angles 142.05, 90.00, 90.00 degrees
Fractional positions:
1 Tb 0.0000 0.0000 0.0000
2 Tb 0.0000 0.4205 0.6269
3 Tb 0.0000 0.6269 0.4205
4 Tb 0.5000 0.0641 0.2779
5 Tb 0.5000 0.2779 0.0641
6 Zr 0.0000 0.2049 0.7848
7 Zr 0.0000 0.7848 0.2049
8 Zr 0.5000 0.4844 0.8913
9 Zr 0.5000 0.6699 0.6699
10 Zr 0.5000 0.8913 0.4844

***

Entry 6:
A plane-wave DFT calculation with PBE was carried out for a relaxed TbZr crystal.

## Properties
E above lowest polymorph (kJ/mol of atoms): 2.77
Final energy (eV/atom): -6.506
Formation energy from the elements (eV/atom): 0.082
Symmetry: No. 26
Spin magnetization (μB per formula unit): 0.00

Cell lengths 5.3793, 10.3398, 5.8468 Å; angles 90.00, 90.00, 90.00 degrees
Fractional positions:
1 Tb 0.0000 0.0792 0.0000
2 Tb 0.0000 0.2582 0.5231
3 Tb 0.0000 0.7418 0.0231
4 Tb 0.0000 0.9208 0.5000
5 Tb 0.5000 0.2564 0.1617
6 Tb 0.5000 0.7436 0.6617
7 Zr 0.0000 0.4332 0.9953
8 Zr 0.0000 0.5668 0.4953
9 Zr 0.5000 0.0781 0.6694
10 Zr 0.5000 0.4272 0.6863
11 Zr 0.5000 0.5728 0.1863
12 Zr 0.5000 0.9219 0.1694

***

Entry 7:
A plane-wave DFT calculation with PBE was carried out for a relaxed TbZr crystal.

## Properties
E above lowest polymorph (kJ/mol of atoms): 2.07
Final energy (eV/atom): -6.513
Formation energy from the elements (eV/atom): 0.075
Symmetry: No. 25
Spin magnetization (μB per formula unit): 0.01

Cell lengths 5.3494, 6.9187, 5.8895 Å; angles 90.00, 90.00, 90.00 degrees
Fractional positions:
1 Tb 0.0000 0.0000 0.0000
2 Tb 0.0000 0.2662 0.5223
3 Tb 0.0000 0.7338 0.5223
4 Tb 0.5000 0.0000 0.3583
5 Zr 0.0000 0.5000 0.0274
6 Zr 0.5000 0.2807 0.8574
7 Zr 0.5000 0.5000 0.3239
8 Zr 0.5000 0.7193 0.8574

***

Entry 8:
A plane-wave DFT calculation with PBE was carried out for a relaxed TbZr crystal.

## Properties
E above lowest polymorph (kJ/mol of atoms): 0.00
Final energy (eV/atom): -6.535
Formation energy from the elements (eV/atom): 0.054
Symmetry: No. 57
Spin magnetization (μB per formula unit): 0.00

Cell lengths 7.1066, 5.7642, 5.3462 Å; angles 90.00, 90.00, 90.00 degrees
Fractional positions:
1 Tb 0.1472 0.0627 0.2500
2 Tb 0.1472 0.4373 0.7500
3 Tb 0.8528 0.5627 0.2500
4 Tb 0.8528 0.9373 0.7500
5 Zr 0.4009 0.5930 0.2500
6 Zr 0.4009 0.9070 0.7500
7 Zr 0.5991 0.0930 0.2500
8 Zr 0.5991 0.4070 0.7500

***

Entry 9:
A plane-wave DFT calculation with PBE was carried out for a relaxed TcTe crystal.

## Properties
E above lowest polymorph (kJ/mol of atoms): 12.63
Final energy (eV/atom): -6.150
Symmetry: No. 216
Spin magnetization (μB per formula unit): 0.00

Cell lengths 4.2038, 4.2038, 4.2038 Å; angles 60.00, 60.00, 60.00 degrees
Fractional positions:
1 Tc 0.0000 0.0000 0.0000
2 Te 0.7500 0.7500 0.7500

***

Entry 10:
A plane-wave DFT calculation with PBE was carried out for a relaxed TcTe crystal.

## Properties
E above lowest polymorph (kJ/mol of atoms): 0.00
Final energy (eV/atom): -6.281
Symmetry: No. 187
Spin magnetization (μB per formula unit): 0.01

Cell lengths 3.3368, 3.3368, 3.9422 Å; angles 90.00, 90.00, 120.00 degrees
Fractional positions:
1 Tc 0.0000 0.0000 0.0000
2 Te 0.6667 0.3333 0.5000

***

Entry 11:
A plane-wave DFT calculation with PBE was carried out for a relaxed Tc2Te crystal.

## Properties
E above lowest polymorph (kJ/mol of atoms): 185.14
Final energy (eV/atom): -5.316
Symmetry: No. 227
Spin magnetization (μB per formula unit): 8.00

Cell lengths 8.6615, 8.6615, 8.6615 Å; angles 60.00, 60.00, 60.00 degrees
Fractional positions:
1 Tc 0.0000 0.0000 0.0000
2 Tc 0.0000 0.0000 0.5000
3 Tc 0.0000 0.5000 0.0000
4 Tc 0.5000 0.0000 0.0000
5 Te 0.1250 0.1250 0.1250
6 Te 0.8750 0.8750 0.8750

***

Entry 12:
A plane-wave DFT calculation with PBE was carried out for a relaxed Tc2Te crystal.

## Properties
E above lowest polymorph (kJ/mol of atoms): 0.00
Final energy (eV/atom): -7.235
Symmetry: No. 225
Spin magnetization (μB per formula unit): 0.83

Cell lengths 4.3124, 4.3124, 4.3124 Å; angles 60.00, 60.00, 60.00 degrees
Fractional positions:
1 Tc 0.2500 0.2500 0.2500
2 Tc 0.7500 0.7500 0.7500
3 Te 0.0000 0.0000 0.0000

***

Entry 13:
A plane-wave DFT calculation with PBE was carried out for a relaxed Tc2Te crystal.

## Properties
E above lowest polymorph (kJ/mol of atoms): 0.21
Final energy (eV/atom): -7.233
Symmetry: No. 227
Spin magnetization (μB per formula unit): 0.02

Cell lengths 5.3228, 5.3228, 5.3228 Å; angles 60.00, 60.00, 60.00 degrees
Fractional positions:
1 Tc 0.0000 0.0000 0.0000
2 Tc 0.0000 0.0000 0.5000
3 Tc 0.0000 0.5000 0.0000
4 Tc 0.5000 0.0000 0.0000
5 Te 0.3750 0.3750 0.3750
6 Te 0.6250 0.6250 0.6250

***

Entry 14:
A plane-wave DFT calculation with PBE was carried out for a relaxed Tl2TcTe3 crystal.

## Properties
Final energy (eV/atom): -4.182
Symmetry: No. 11
Spin magnetization (μB per formula unit): 0.24

Cell lengths 8.1890, 4.0848, 10.8356 Å; angles 90.00, 96.00, 90.00 degrees
Fractional positions:
1 Tl 0.0757 0.2500 0.1376
2 Tl 0.2530 0.7500 0.4956
3 Tl 0.7470 0.2500 0.5044
4 Tl 0.9243 0.7500 0.8624
5 Tc 0.4178 0.2500 0.8265
6 Tc 0.5822 0.7500 0.1735
7 Te 0.1223 0.2500 0.6990
8 Te 0.3352 0.7500 0.9784
9 Te 0.4399 0.2500 0.2839
10 Te 0.5601 0.7500 0.7161
11 Te 0.6648 0.2500 0.0216
12 Te 0.8777 0.7500 0.3010

***

Entry 15:
A plane-wave DFT calculation with PBE was carried out for a relaxed Tl2TcTe crystal.

## Properties
Final energy (eV/atom): -3.859
Symmetry: No. 216
Spin magnetization (μB per formula unit): 2.78

Cell lengths 5.1791, 5.1791, 5.1791 Å; angles 60.00, 60.00, 60.00 degrees
Fractional positions:
1 Tl 0.0000 0.0000 0.0000
2 Tl 0.2500 0.2500 0.2500
3 Tc 0.5000 0.5000 0.5000
4 Te 0.7500 0.7500 0.7500

***

Entry 16:
A plane-wave DFT calculation with PBE was carried out for a relaxed Tm6TcTe2 crystal.

## Properties
Final energy (eV/atom): -5.487
Symmetry: No. 189
Spin magnetization (μB per formula unit): 0.05

Cell lengths 8.1831, 8.1831, 4.0611 Å; angles 90.00, 90.00, 120.00 degrees
Fractional positions:
1 Tm 0.0000 0.2380 0.0000
2 Tm 0.0000 0.6132 0.5000
3 Tm 0.2380 0.0000 0.0000
4 Tm 0.3868 0.3868 0.5000
5 Tm 0.6132 0.0000 0.5000
6 Tm 0.7620 0.7620 0.0000
7 Tc 0.0000 0.0000 0.5000
8 Te 0.3333 0.6667 0.0000
9 Te 0.6667 0.3333 0.0000

***

Entry 17:
A plane-wave DFT calculation with PBE was carried out for a relaxed TcTeW2 crystal.

## Properties
Final energy (eV/atom): -9.206
Symmetry: No. 216
Spin magnetization (μB per formula unit): 0.71

Cell lengths 4.5710, 4.5710, 4.5710 Å; angles 60.00, 60.00, 60.00 degrees
Fractional positions:
1 Tc 0.0000 0.0000 0.0000
2 Te 0.2500 0.2500 0.2500
3 W 0.5000 0.5000 0.5000
4 W 0.7500 0.7500 0.7500

***

Entry 18:
A plane-wave DFT calculation with PBE was carried out for a relaxed TcTeW crystal.

## Properties
E above lowest polymorph (kJ/mol of atoms): 0.00
Final energy (eV/atom): -8.417
Symmetry: No. 216
Spin magnetization (μB per formula unit): 0.00

Cell lengths 4.3582, 4.3582, 4.3582 Å; angles 60.00, 60.00, 60.00 degrees
Fractional positions:
1 Tc 0.0000 0.0000 0.0000
2 Te 0.7500 0.7500 0.7500
3 W 0.2500 0.2500 0.2500

***

Entry 19:
A plane-wave DFT calculation with PBE was carried out for a relaxed Y6TcTe2 crystal.

## Properties
Final energy (eV/atom): -6.830
Symmetry: No. 189
Spin magnetization (μB per formula unit): 0.02

Cell lengths 8.3100, 8.3100, 4.1053 Å; angles 90.00, 90.00, 120.00 degrees
Fractional positions:
1 Y 0.0000 0.3937 0.0000
2 Y 0.0000 0.7615 0.5000
3 Y 0.2385 0.2385 0.5000
4 Y 0.3937 0.0000 0.0000
5 Y 0.6063 0.6063 0.0000
6 Y 0.7615 0.0000 0.5000
7 Tc 0.0000 0.0000 0.0000
8 Te 0.3333 0.6667 0.5000
9 Te 0.6667 0.3333 0.5000

***

Entry 20:
A plane-wave DFT calculation with PBE was carried out for a relaxed Y6TcTe2 crystal.

## Properties
Final energy (eV/atom): -6.829
Symmetry: No. 189
Spin magnetization (μB per formula unit): 0.08

Cell lengths 8.3148, 8.3148, 4.1055 Å; angles 90.00, 90.00, 120.00 degrees
Fractional positions:
1 Y 0.0000 0.3925 0.0000
2 Y 0.0000 0.7614 0.5000
3 Y 0.2386 0.2386 0.5000
4 Y 0.3925 0.0000 0.0000
5 Y 0.6075 0.6075 0.0000
6 Y 0.7614 0.0000 0.5000
7 Tc 0.0000 0.0000 0.0000
8 Te 0.3333 0.6667 0.5000
9 Te 0.6667 0.3333 0.5000

***

Entry 21:
A plane-wave DFT calculation with PBE was carried out for a relaxed Y3TcTe4 crystal.

## Properties
Final energy (eV/atom): -5.779
Symmetry: No. 121
Spin magnetization (μB per formula unit): 2.01

Cell lengths 8.2255, 8.2255, 8.2255 Å; angles 132.31, 132.31, 69.74 degrees
Fractional positions:
1 Y 0.0000 0.0000 0.0000
2 Y 0.2500 0.7500 0.5000
3 Y 0.7500 0.2500 0.5000
4 Tc 0.5000 0.5000 0.0000
5 Te 0.1511 0.1511 0.5362
6 Te 0.3851 0.8489 0.0000
7 Te 0.6149 0.6149 0.4638
8 Te 0.8489 0.3851 0.0000

***

Entry 22:
A plane-wave DFT calculation with PBE was carried out for a relaxed Y2TcTe crystal.

## Properties
Final energy (eV/atom): -6.633
Symmetry: No. 216
Spin magnetization (μB per formula unit): 0.00

Cell lengths 4.9984, 4.9984, 4.9984 Å; angles 60.00, 60.00, 60.00 degrees
Fractional positions:
1 Y 0.0000 0.0000 0.0000
2 Y 0.2500 0.2500 0.2500
3 Tc 0.5000 0.5000 0.5000
4 Te 0.7500 0.7500 0.7500

***

Entry 23:
A plane-wave DFT calculation with PBE was carried out for a relaxed ZrTc2Te crystal.

## Properties
Final energy (eV/atom): -7.816
Symmetry: No. 216
Spin magnetization (μB per formula unit): 1.99

Cell lengths 4.6660, 4.6660, 4.6660 Å; angles 60.00, 60.00, 60.00 degrees
Fractional positions:
1 Zr 0.0000 0.0000 0.0000
2 Tc 0.5000 0.5000 0.5000
3 Tc 0.7500 0.7500 0.7500
4 Te 0.2500 0.2500 0.2500

***

Entry 24:
A plane-wave DFT calculation with PBE was carried out for a relaxed ZrTcTe2 crystal.

## Properties
Final energy (eV/atom): -5.942
Symmetry: No. 216
Spin magnetization (μB per formula unit): 1.33

Cell lengths 4.9809, 4.9809, 4.9809 Å; angles 60.00, 60.00, 60.00 degrees
Fractional positions:
1 Zr 0.0000 0.0000 0.0000
2 Tc 0.7500 0.7500 0.7500
3 Te 0.2500 0.2500 0.2500
4 Te 0.5000 0.5000 0.5000

***

Entry 25:
A plane-wave DFT calculation with PBE was carried out for a relaxed Th2TlTc crystal.

## Properties
Final energy (eV/atom): -7.056
Symmetry: No. 123
Spin magnetization (μB per formula unit): 0.00

Cell lengths 3.4843, 3.4843, 8.7660 Å; angles 90.00, 90.00, 90.00 degrees
Fractional positions:
1 Th 0.0000 0.0000 0.2033
2 Th 0.0000 0.0000 0.7967
3 Tl 0.5000 0.5000 0.5000
4 Tc 0.5000 0.5000 0.0000

***

Entry 26:
A plane-wave DFT calculation with PBE was carried out for a relaxed ThTl2Tc2 crystal.

## Properties
Final energy (eV/atom): -6.247
Symmetry: No. 63
Spin magnetization (μB per formula unit): 0.00

Cell lengths 4.8655, 4.8655, 12.3336 Å; angles 90.00, 90.00, 120.89 degrees
Fractional positions:
1 Th 0.0295 0.9705 0.7500
2 Th 0.9705 0.0295 0.2500
3 Tl 0.3552 0.6448 0.5809
4 Tl 0.3552 0.6448 0.9191
5 Tl 0.6448 0.3552 0.0809
6 Tl 0.6448 0.3552 0.4191
7 Tc 0.3055 0.6945 0.1565
8 Tc 0.3055 0.6945 0.3435
9 Tc 0.6945 0.3055 0.6565
10 Tc 0.6945 0.3055 0.8435